# 1
First-principles (PBE) data for a geometry-optimized SmNbAs2Rh5 structure, as listed in Alexandria.

Lattice parameters (Å, degrees): 4.0386 4.0386 10.9114 90.00 90.00 90.00
Positions (direct):
Sm 0.0000 0.0000 0.0000
Nb 0.5000 0.5000 0.5000
As 0.5000 0.5000 0.2172
As 0.5000 0.5000 0.7828
Rh 0.0000 0.5000 0.3489
Rh 0.0000 0.5000 0.6511
Rh 0.5000 0.0000 0.3489
Rh 0.5000 0.0000 0.6511
Rh 0.5000 0.5000 0.0000

Summary:
- Fermi-level density of states: 4.52 states/eV/f.u.
- ΔH_f (0 K): -271.1 meV/atom
- Density: 8.5 g cm⁻³
- Crystal system: tetragonal
- Space group: P4/mmm, No. 123

---

# 2
First-principles (PBE) data for a geometry-optimized Tb3NbAs2Rh9 structure, as listed in Alexandria.

Lattice parameters (Å, degrees): 5.7573 5.7573 10.4731 90.00 90.00 120.00
Positions (direct):
Tb 0.0000 0.0000 0.0000
Tb 0.3333 0.6667 0.5897
Tb 0.6667 0.3333 0.4103
Nb 0.0000 0.0000 0.5000
As 0.3333 0.6667 0.1602
As 0.6667 0.3333 0.8398
Rh 0.0000 0.5000 0.0000
Rh 0.1636 0.3273 0.3199
Rh 0.1636 0.8364 0.3199
Rh 0.3273 0.1636 0.6801
Rh 0.5000 0.0000 0.0000
Rh 0.5000 0.5000 0.0000
Rh 0.6727 0.8364 0.3199
Rh 0.8364 0.1636 0.6801
Rh 0.8364 0.6727 0.6801

Summary:
- Fermi-level density of states: 8.91 states/eV/f.u.
- ΔH_f (0 K): -370.6 meV/atom
- Density: 9.1 g cm⁻³
- Crystal system: trigonal
- Space group: P-3m1, No. 164

---

# 3
First-principles (PBE) data for a geometry-optimized Nb2TcAsRh structure, as listed in Alexandria.

Lattice parameters (Å, degrees): 4.7107 4.7107 4.3889 90.00 90.00 90.00
Positions (direct):
Nb 0.0000 0.5000 0.0000
Nb 0.5000 0.0000 0.0000
Tc 0.0000 0.0000 0.5000
As 0.5000 0.5000 0.0000
Rh 0.5000 0.5000 0.5000

Summary:
- Fermi-level density of states: 5.11 states/eV/f.u.
- ΔH_f (0 K): 847.1 meV/atom
- Density: 7.9 g cm⁻³
- Crystal system: tetragonal
- Space group: P4/mmm, No. 123

---

# 4
First-principles (PBE) data for a geometry-optimized ThNbAs2Rh5 structure, as listed in Alexandria.

Lattice parameters (Å, degrees): 4.0418 4.0418 10.9424 90.00 90.00 90.00
Positions (direct):
Th 0.0000 0.0000 0.0000
Nb 0.5000 0.5000 0.5000
As 0.5000 0.5000 0.2191
As 0.5000 0.5000 0.7809
Rh 0.0000 0.5000 0.3495
Rh 0.0000 0.5000 0.6505
Rh 0.5000 0.0000 0.3495
Rh 0.5000 0.0000 0.6505
Rh 0.5000 0.5000 0.0000

Summary:
- Fermi-level density of states: 4.73 states/eV/f.u.
- ΔH_f (0 K): -284.5 meV/atom
- Density: 9.2 g cm⁻³
- Crystal system: tetragonal
- Space group: P4/mmm, No. 123

---

# 5
First-principles (PBE) data for a geometry-optimized Nb2TlAsRh structure, as listed in Alexandria.

Lattice parameters (Å, degrees): 4.8074 4.8074 4.5792 90.00 90.00 90.00
Positions (direct):
Nb 0.0000 0.5000 0.0000
Nb 0.5000 0.0000 0.0000
Tl 0.0000 0.0000 0.5000
As 0.5000 0.5000 0.0000
Rh 0.5000 0.5000 0.5000

Summary:
- Fermi-level density of states: 5.00 states/eV/f.u.
- ΔH_f (0 K): 462.6 meV/atom
- Density: 8.9 g cm⁻³
- Crystal system: tetragonal
- Space group: P4/mmm, No. 123

---

# 6
First-principles (PBE) data for a geometry-optimized NbAsRu2 structure, as listed in Alexandria.

Lattice parameters (Å, degrees): 6.7593 6.7593 6.7593 130.48 130.48 72.63
Positions (direct):
Nb 0.0000 0.0000 0.0000
Nb 0.7500 0.2500 0.5000
As 0.2500 0.7500 0.5000
As 0.5000 0.5000 0.0000
Ru 0.1422 0.6250 0.0172
Ru 0.3750 0.3922 0.5172
Ru 0.6078 0.1250 0.9828
Ru 0.8750 0.8578 0.4828

Summary:
- Fermi-level density of states: 1.47 states/eV/f.u.
- ΔH_f (0 K): 518.0 meV/atom
- Density: 7.0 g cm⁻³
- Crystal system: tetragonal
- Space group: I-42d, No. 122

---

# 7
First-principles (PBE) data for a geometry-optimized Nb2AsRu structure, as listed in Alexandria.

Lattice parameters (Å, degrees): 9.7632 9.7632 9.7632 157.06 157.06 32.67
Positions (direct):
Nb 0.1141 0.6250 0.9891
Nb 0.3750 0.3641 0.4891
Nb 0.6359 0.1250 0.0109
Nb 0.8750 0.8859 0.5109
As 0.0000 0.0000 0.0000
As 0.7500 0.2500 0.5000
Ru 0.2500 0.7500 0.5000
Ru 0.5000 0.5000 0.0000

Summary:
- Fermi-level density of states: 3.44 states/eV/f.u.
- ΔH_f (0 K): 275.3 meV/atom
- Density: 8.5 g cm⁻³
- Crystal system: tetragonal
- Space group: I-42d, No. 122

---

# 8
First-principles (PBE) data for a geometry-optimized Nb2As2Ru structure, as listed in Alexandria.

Lattice parameters (Å, degrees): 6.8991 6.8991 3.4581 90.00 90.00 90.00
Positions (direct):
Nb 0.1494 0.3505 0.0000
Nb 0.3505 0.8506 0.0000
Nb 0.6494 0.1494 0.0000
Nb 0.8506 0.6494 0.0000
As 0.1526 0.6526 0.5000
As 0.3474 0.1526 0.5000
As 0.6526 0.8474 0.5000
As 0.8474 0.3474 0.5000
Ru 0.0000 0.0000 0.5000
Ru 0.5000 0.5000 0.5000

Summary:
- Fermi-level density of states: 5.33 states/eV/f.u.
- ΔH_f (0 K): -248.2 meV/atom
- Density: 8.8 g cm⁻³
- Crystal system: tetragonal
- Space group: P4/mbm, No. 127
- ΔE to the lowest computed polymorph: 0 meV/atom

---

> Look up the Fermi-level density of states of the second one.

8.91 states/eV/f.u.

---

> density of number 5 (Nb2TlAsRh)?

8.9 g cm⁻³

---

> Among the records above, which one has the highest ΔH_f (0 K)?

Nb2TcAsRh

---

> Which of these has the highest density?

ThNbAs2Rh5